(1)
First-principles (PBE-GGA) data for an optimized crystal structure of CaIn2Tc, as listed in the Alexandria database.

Lattice parameters (Å, degrees): 5.8141 5.8141 4.7972 114.29 114.29 36.76
Closest atoms and distances in Å follow each position.
Fractional positions:
Ca1 0.0000 0.0000 0.0000  2 Tc 3.04, 8 In 3.05-3.30
In1 0.2243 0.2243 0.7220  4 Tc 3.02-3.03, 4 In 3.22-3.35, 4 Ca 3.27-3.30
In2 0.4584 0.4584 0.4591  2 Tc 2.81, 4 Ca 3.05
Tc1 0.7444 0.7444 0.2406  6 In 2.81-3.03, 2 Ca 3.04

Properties
Calculated formation energy = 0.192 eV/atom
Energy above the most stable polymorph in this dataset = 67 kJ/mol of formula units
Space group = Cm, No. 8
Total moment = 0.0 μB/f.u.

***

(2)
First-principles (PBE-GGA) data for an optimized crystal structure of CsZnTc3, as listed in the Alexandria database.

Lattice parameters (Å, degrees): 4.9591 4.9591 4.9591 90.00 90.00 90.00
Closest atoms and distances in Å follow each position.
Fractional positions:
Cs1 0.0000 0.0000 0.0000  12 Tc 3.51
Zn1 0.5000 0.5000 0.5000  6 Tc 2.48
Tc1 0.0000 0.5000 0.5000  2 Zn 2.48
Tc2 0.5000 0.0000 0.5000  2 Zn 2.48
Tc3 0.5000 0.5000 0.0000  2 Zn 2.48

Properties
Calculated formation energy = 2.026 eV/atom
Energy above the most stable polymorph in this dataset = 0 kJ/mol of formula units
Space group = Pm-3m, No. 221
Total moment = 9.1 μB/f.u.

***

(3)
First-principles (PBE-GGA) data for an optimized crystal structure of Tb3ZnHg3, as listed in the Alexandria database.

Lattice parameters (Å, degrees): 7.2001 7.2001 6.9932 91.15 91.15 88.62
Closest atoms and distances in Å follow each position.
Fractional positions:
Tb1 0.0528 0.4332 0.7454  1 Zn 3.05, 5 Hg 3.08-3.24
Tb2 0.0856 0.0856 0.2730  1 Zn 3.08, 5 Hg 3.13-3.20
Tb3 0.4332 0.0528 0.7454  1 Zn 3.05, 5 Hg 3.08-3.24
Tb4 0.5668 0.9472 0.2546  1 Zn 3.05, 5 Hg 3.08-3.24
Tb5 0.9144 0.9144 0.7270  1 Zn 3.08, 5 Hg 3.13-3.20
Tb6 0.9472 0.5668 0.2546  1 Zn 3.05, 5 Hg 3.08-3.24
Zn1 0.3608 0.3608 0.4581  3 Hg 2.74-2.81, 1 Zn 2.91, 2 Tb 3.05
Zn2 0.6392 0.6392 0.5419  3 Hg 2.74-2.81, 1 Zn 2.91, 2 Tb 3.05
Hg1 0.2330 0.7670 0.0000  2 Hg 3.12, 6 Tb 3.13-3.24
Hg2 0.2608 0.7392 0.5000  2 Zn 2.81, 2 Tb 3.08
Hg3 0.3541 0.3541 0.0658  1 Zn 2.74
Hg4 0.6459 0.6459 0.9342  1 Zn 2.74
Hg5 0.7392 0.2608 0.5000  2 Zn 2.81, 2 Tb 3.08
Hg6 0.7670 0.2330 0.0000  2 Hg 3.12, 6 Tb 3.13-3.24

Properties
Calculated formation energy = -0.309 eV/atom
Space group = C2/m, No. 12
Total moment = 0.0 μB/f.u.

***

(4)
First-principles (PBE-GGA) data for an optimized crystal structure of YMn2Os2, as listed in the Alexandria database.

Lattice parameters (Å, degrees): 7.4707 7.4707 2.7059 90.00 90.00 90.00
Closest atoms and distances in Å follow each position.
Fractional positions:
Y1 0.0000 0.0000 0.0000  2 Y 2.71, 4 Mn 3.01
Y2 0.5000 0.5000 0.0000  2 Y 2.71, 4 Mn 3.01
Mn1 0.1140 0.3860 0.0000  1 Mn 2.41, 6 Os 2.55-2.65
Mn2 0.3860 0.8860 0.0000  1 Mn 2.41, 6 Os 2.55-2.65
Mn3 0.6140 0.1140 0.0000  1 Mn 2.41, 6 Os 2.55-2.65
Mn4 0.8860 0.6140 0.0000  1 Mn 2.41, 6 Os 2.55-2.65
Os1 0.1704 0.6704 0.5000  6 Mn 2.55-2.65, 2 Os 2.71
Os2 0.3296 0.1704 0.5000  6 Mn 2.55-2.65, 2 Os 2.71
Os3 0.6704 0.8296 0.5000  6 Mn 2.55-2.65, 2 Os 2.71
Os4 0.8296 0.3296 0.5000  6 Mn 2.55-2.65, 2 Os 2.71

Properties
Calculated formation energy = 0.154 eV/atom
Energy above the most stable polymorph in this dataset = 85 kJ/mol of formula units
Space group = P4/mbm, No. 127
Total moment = 0.5 μB/f.u.

***

(5)
First-principles (PBE-GGA) data for an optimized crystal structure of NaHf3Fe, as listed in the Alexandria database.

Lattice parameters (Å, degrees): 4.8173 4.8173 4.8173 90.00 90.00 90.00
Closest atoms and distances in Å follow each position.
Fractional positions:
Na1 0.0000 0.0000 0.0000  6 Hf 2.41
Hf1 0.0000 0.0000 0.5000  2 Na 2.41
Hf2 0.0000 0.5000 0.0000  2 Na 2.41
Hf3 0.5000 0.0000 0.0000  2 Na 2.41
Fe1 0.5000 0.5000 0.5000  12 Hf 3.41

Properties
Calculated formation energy = 2.146 eV/atom
Energy above the most stable polymorph in this dataset = 825 kJ/mol of formula units
Space group = Pm-3m, No. 221
Total moment = 0.0 μB/f.u.

***

(6)
First-principles (PBE-GGA) data for an optimized crystal structure of PrY2CdC, as listed in the Alexandria database.

Lattice parameters (Å, degrees): 4.9238 4.9238 5.2470 90.00 90.00 90.00
Closest atoms and distances in Å follow each position.
Fractional positions:
Pr1 0.0000 0.0000 0.0000  2 C 2.62
Y1 0.0000 0.5000 0.5000  2 C 2.46
Y2 0.5000 0.0000 0.5000  2 C 2.46
Cd1 0.5000 0.5000 0.0000  4 Pr 3.48, 8 Y 3.60
C1 0.0000 0.0000 0.5000  4 Y 2.46, 2 Pr 2.62

Properties
Calculated formation energy = -0.256 eV/atom
Space group = P4/mmm, No. 123
Total moment = 0.0 μB/f.u.

***

(7)
First-principles (PBE-GGA) data for an optimized crystal structure of ScSb2As2, as listed in the Alexandria database.

Lattice parameters (Å, degrees): 7.5995 7.5995 4.1564 90.00 90.00 90.00
Closest atoms and distances in Å follow each position.
Fractional positions:
Sc1 0.0000 0.0000 0.0000  4 As 2.84
Sc2 0.5000 0.5000 0.0000  4 As 2.84
Sb1 0.1678 0.3322 0.5000  2 As 2.74
Sb2 0.3322 0.8322 0.5000  2 As 2.74
Sb3 0.6678 0.1678 0.5000  2 As 2.74
Sb4 0.8322 0.6678 0.5000  2 As 2.74
As1 0.1657 0.6657 0.0000  2 Sb 2.74, 2 Sc 2.84
As2 0.3343 0.1657 0.0000  2 Sb 2.74, 2 Sc 2.84
As3 0.6657 0.8343 0.0000  2 Sb 2.74, 2 Sc 2.84
As4 0.8343 0.3343 0.0000  2 Sb 2.74, 2 Sc 2.84

Properties
Uncorrected formation energy = -251 meV/atom
Space group = P4/mbm, No. 127
Total moment = 0.0 μB/f.u.

***

(8)
First-principles (PBE-GGA) data for an optimized crystal structure of TmPa2InN5, as listed in the Alexandria database.

Lattice parameters (Å, degrees): 7.2185 7.2185 11.2257 90.00 90.00 151.98
Closest atoms and distances in Å follow each position.
Fractional positions:
Tm1 0.2345 0.7655 0.5000  6 N 2.26-2.49
Tm2 0.7655 0.2345 0.0000  6 N 2.26-2.49
Pa1 0.1280 0.8720 0.7488  6 N 2.27-2.38
Pa2 0.1403 0.8597 0.2278  3 N 2.18-2.26
Pa3 0.8597 0.1403 0.7278  3 N 2.18-2.26
Pa4 0.8720 0.1280 0.2488  6 N 2.27-2.38
In1 0.4955 0.5045 0.9946  4 N 2.13-2.19
In2 0.5045 0.4955 0.4946  4 N 2.13-2.19
N1 0.0757 0.9243 0.5574  2 In 2.13, 1 Pa 2.27, 1 Tm 2.31
N2 0.2770 0.7230 0.8504  3 Pa 2.38-2.51, 2 Tm 2.43
N3 0.2848 0.7152 0.1567  3 Pa 2.18-2.37
N4 0.3739 0.6261 0.6016  1 In 2.19, 2 Pa 2.26, 1 Tm 2.26
N5 0.4711 0.5289 0.3037  1 In 2.19, 2 Pa 2.32
N6 0.5289 0.4711 0.8037  1 In 2.19, 2 Pa 2.32
N7 0.6261 0.3739 0.1016  1 In 2.19, 2 Pa 2.26, 1 Tm 2.26
N8 0.7152 0.2848 0.6567  3 Pa 2.18-2.37
N9 0.7230 0.2770 0.3504  3 Pa 2.38-2.51, 2 Tm 2.43
N10 0.9243 0.0757 0.0574  2 In 2.13, 1 Pa 2.27, 1 Tm 2.31

Properties
Uncorrected formation energy = -1134 meV/atom
Space group = Cmc2_1, No. 36
Total moment = 0.3 μB/f.u.

***

Sequential V output: 87.5, 122.0, 181.1, 75.5, 111.8, 127.2, 120.0, 137.4 Å³/f.u.